Crystalline NdCd10Pd2 at its relaxed geometry, computed with GGA-PBE.

Summary:
Its formation energy is -3.0 eV per formula unit.

Unit cell a=5.6604 b=7.5780 c=7.6460 alpha=82.05 beta=68.27 gamma=68.07
With the nearest neighbours (Å) after each atom.
Sites, in units of the cell vectors:
Cd: 0.4921 0.2202 0.7955  2 Pd 2.83, 7 Cd 2.91-3.12
Cd: 0.9833 0.3612 0.6723  2 Pd 2.89, 6 Cd 3.07-3.15
Cd: 0.6556 0.3612 0.3277  2 Pd 2.89, 6 Cd 3.07-3.15
Cd: 0.3444 0.6388 0.6723  2 Pd 2.89, 6 Cd 3.07-3.15
Cd: 0.0167 0.6388 0.3277  2 Pd 2.89, 6 Cd 3.07-3.15
Cd: 0.5000 0.0000 0.5000  10 Cd 2.83-3.15
Cd: 0.7124 0.7798 0.7955  2 Pd 2.83, 7 Cd 2.91-3.12
Cd: 0.2876 0.2202 0.2045  2 Pd 2.83, 7 Cd 2.91-3.12
Cd: 0.0000 0.0000 0.5000  10 Cd 2.83-3.15
Cd: 0.5079 0.7798 0.2045  2 Pd 2.83, 7 Cd 2.91-3.12
Pd: 0.0000 0.5000 0.0000  8 Cd 2.83-2.89, 2 Pd 2.83
Pd: 0.5000 0.5000 0.0000  8 Cd 2.83-2.89, 2 Pd 2.83
Nd: 0.0000 0.0000 0.0000  16 Cd 3.44-3.82, 4 Pd 3.79

Crystalline Nd3CdPd4 at its relaxed geometry, computed with GGA-PBE.

Summary:
Its formation energy is -5.0 eV per formula unit.

Unit cell a=3.9158 b=6.6680 c=8.4905 alpha=113.11 beta=103.33 gamma=90.00
With the nearest neighbours (Å) after each atom.
Sites, in units of the cell vectors:
Pd: 0.3728 0.1704 0.7455  1 Pd 2.70, 1 Cd 2.76, 2 Nd 2.96
Pd: 0.6273 0.4246 0.2546  1 Pd 2.70, 1 Cd 2.76, 2 Nd 2.95
Pd: 0.3727 0.5754 0.7454  1 Pd 2.70, 1 Cd 2.76, 2 Nd 2.95
Pd: 0.6272 0.8296 0.2545  1 Pd 2.70, 1 Cd 2.76, 2 Nd 2.96
Nd: 0.8078 0.8080 0.6156  6 Pd 2.95-3.05
Nd: 0.0000 0.5000 0.0000  8 Pd 3.06
Nd: 0.1922 0.1920 0.3844  6 Pd 2.95-3.05
Cd: 0.5000 0.0000 0.0000  4 Pd 2.76

Crystalline NdCd3Pd2 at its relaxed geometry, computed with GGA-PBE.

Summary:
Its formation energy is -2.6 eV per formula unit.

Unit cell a=4.3770 b=9.2729 c=8.0624 alpha=122.02 beta=90.00 gamma=103.65
With the nearest neighbours (Å) after each atom.
Sites, in units of the cell vectors:
Cd: 0.6553 0.3106 0.8191  4 Pd 2.85-2.91, 1 Cd 3.11
Cd: 0.3447 0.6894 0.1809  4 Pd 2.85-2.91, 1 Cd 3.11
Cd: 0.0568 0.1136 0.4317  3 Pd 2.80-2.83, 3 Cd 2.81-3.06
Cd: 0.9432 0.8864 0.5683  3 Pd 2.80-2.83, 3 Cd 2.81-3.06
Cd: 0.6849 0.3699 0.4740  4 Pd 2.80-2.89, 5 Cd 3.06-3.11
Cd: 0.3151 0.6301 0.5260  4 Pd 2.80-2.89, 5 Cd 3.06-3.11
Pd: 0.4955 0.9909 0.8257  1 Pd 2.72, 4 Cd 2.80-2.91, 2 Nd 3.01
Pd: 0.2367 0.4735 0.7511  7 Cd 2.83-2.90, 2 Nd 3.09
Pd: 0.5045 0.0091 0.1743  1 Pd 2.72, 4 Cd 2.80-2.91, 2 Nd 3.01
Pd: 0.7633 0.5265 0.2489  7 Cd 2.83-2.90, 2 Nd 3.09
Nd: 0.1191 0.2381 0.0851  6 Pd 3.01-3.34
Nd: 0.8809 0.7619 0.9149  6 Pd 3.01-3.34

Crystalline Nd3CdPd3 at its relaxed geometry, computed with GGA-PBE.

Summary:
Its formation energy is -3.9 eV per formula unit.

Unit cell a=7.0169 b=7.0169 c=7.2042 alpha=91.34 beta=91.34 gamma=100.84
With the nearest neighbours (Å) after each atom.
Sites, in units of the cell vectors:
Cd: 0.7240 0.7240 0.8658  3 Pd 2.76-2.87
Cd: 0.2760 0.2760 0.1342  3 Pd 2.76-2.87
Nd: 0.3561 0.3561 0.6426  3 Pd 2.90-3.12
Nd: 0.8330 0.1670 0.5000  6 Pd 2.80-2.97
Nd: 0.7494 0.2506 0.0000  6 Pd 3.04-3.08
Nd: 0.1670 0.8330 0.5000  6 Pd 2.80-2.97
Nd: 0.2506 0.7494 0.0000  6 Pd 3.04-3.08
Nd: 0.6439 0.6439 0.3574  3 Pd 2.90-3.12
Pd: 0.0695 0.0695 0.8192  2 Cd 2.87-3.12, 5 Nd 2.90-3.08, 1 Pd 2.93
Pd: 0.9305 0.9305 0.1808  2 Cd 2.87-3.12, 5 Nd 2.90-3.08, 1 Pd 2.93
Pd: 0.9726 0.5063 0.7126  1 Cd 2.76, 4 Nd 2.80-3.06
Pd: 0.5063 0.9726 0.7126  1 Cd 2.76, 4 Nd 2.80-3.06
Pd: 0.0274 0.4937 0.2874  1 Cd 2.76, 4 Nd 2.80-3.06
Pd: 0.4937 0.0274 0.2874  1 Cd 2.76, 4 Nd 2.80-3.06

Crystalline NdCd4Pd2 at its relaxed geometry, computed with GGA-PBE.

Summary:
Its formation energy is -2.9 eV per formula unit. As for the energy above the most stable polymorph in this dataset: 0.00 kJ/mol of atoms.

Unit cell a=4.3972 b=8.3408 c=8.3408 alpha=90.00 beta=90.00 gamma=90.00
With the nearest neighbours (Å) after each atom.
Sites, in units of the cell vectors:
Pd: 0.5000 0.6936 0.6936  6 Cd 2.76-2.81
Pd: 0.0000 0.8064 0.1936  6 Cd 2.76-2.81
Pd: 0.0000 0.1936 0.8064  6 Cd 2.76-2.81
Pd: 0.5000 0.3064 0.3064  6 Cd 2.76-2.81
Cd: 0.0000 0.1000 0.3455  3 Pd 2.76-2.81, 2 Cd 2.90-3.07
Cd: 0.5000 0.4000 0.8455  3 Pd 2.76-2.81, 2 Cd 2.90-3.07
Cd: 0.0000 0.3455 0.1000  3 Pd 2.76-2.81, 2 Cd 2.90-3.07
Cd: 0.0000 0.9000 0.6545  3 Pd 2.76-2.81, 2 Cd 2.90-3.07
Cd: 0.0000 0.6545 0.9000  3 Pd 2.76-2.81, 2 Cd 2.90-3.07
Cd: 0.5000 0.8455 0.4000  3 Pd 2.76-2.81, 2 Cd 2.90-3.07
Cd: 0.5000 0.1545 0.6000  3 Pd 2.76-2.81, 2 Cd 2.90-3.07
Cd: 0.5000 0.6000 0.1545  3 Pd 2.76-2.81, 2 Cd 2.90-3.07
Nd: 0.0000 0.5000 0.5000  4 Pd 3.17
Nd: 0.5000 0.0000 0.0000  4 Pd 3.17

Crystalline NdCd2Pd at its relaxed geometry, computed with GGA-PBE.

Summary:
Its formation energy is -1.4 eV per formula unit.

Unit cell a=5.1931 b=4.2403 c=4.2403 alpha=90.00 beta=90.00 gamma=90.00
With the nearest neighbours (Å) after each atom.
Sites, in units of the cell vectors:
Nd: 0.5000 0.5000 0.5000  4 Pd 3.00, 8 Cd 3.35
Cd: 0.0000 0.0000 0.5000  4 Cd 3.00, 4 Nd 3.35, 4 Pd 3.35
Cd: 0.0000 0.5000 0.0000  4 Cd 3.00, 4 Nd 3.35, 4 Pd 3.35
Pd: 0.5000 0.0000 0.0000  4 Nd 3.00, 8 Cd 3.35

Crystalline NdCd5Pd6 at its relaxed geometry, computed with GGA-PBE.

Summary:
Its formation energy is -5.6 eV per formula unit.

Unit cell a=4.7655 b=6.5767 c=7.2452 alpha=90.00 beta=101.82 gamma=90.00
With the nearest neighbours (Å) after each atom.
Sites, in units of the cell vectors:
Cd: 0.6499 0.0000 0.3373  8 Pd 2.88-2.96, 1 Cd 3.00, 1 Nd 3.23
Cd: 0.6544 0.5000 0.3302  8 Pd 2.82-2.87, 1 Cd 3.12
Cd: 0.0000 0.5000 0.0000  8 Pd 2.84-2.90, 2 Cd 3.17
Cd: 0.3501 0.0000 0.6627  8 Pd 2.88-2.96, 1 Cd 3.00, 1 Nd 3.23
Cd: 0.3456 0.5000 0.6698  8 Pd 2.82-2.87, 1 Cd 3.12
Pd: 0.8445 0.7416 0.6599  7 Cd 2.86-2.95, 1 Nd 2.96, 2 Pd 3.00-3.18
Pd: 0.8445 0.2584 0.6599  7 Cd 2.86-2.95, 1 Nd 2.96, 2 Pd 3.00-3.18
Pd: 0.5000 0.2640 0.0000  6 Cd 2.82-2.96, 2 Nd 2.95, 1 Pd 3.10
Pd: 0.1555 0.2584 0.3401  7 Cd 2.86-2.95, 1 Nd 2.96, 2 Pd 3.00-3.18
Pd: 0.5000 0.7360 0.0000  6 Cd 2.82-2.96, 2 Nd 2.95, 1 Pd 3.10
Pd: 0.1555 0.7416 0.3401  7 Cd 2.86-2.95, 1 Nd 2.96, 2 Pd 3.00-3.18
Nd: 0.0000 0.0000 0.0000  8 Pd 2.95-2.96, 4 Cd 3.23-3.29

Crystalline Nd4CdPd2 at its relaxed geometry, computed with GGA-PBE.

Summary:
Its formation energy is -3.4 eV per formula unit.

Unit cell a=9.0108 b=9.0117 c=7.2250 alpha=107.93 beta=107.94 gamma=121.18
With the nearest neighbours (Å) after each atom.
Sites, in units of the cell vectors:
Pd: 0.1009 0.5396 0.8733  7 Nd 2.88-3.14
Pd: 0.7895 0.8508 0.3738  7 Nd 2.88-3.14
Pd: 0.6159 0.1978 0.0549  6 Nd 2.91-3.24, 1 Cd 2.93
Pd: 0.4474 0.3654 0.5547  6 Nd 2.91-3.24, 1 Cd 2.93
Nd: 0.8320 0.5969 0.5660  4 Pd 2.93-3.24
Nd: 0.4009 0.0013 0.2486  3 Pd 2.91-3.06, 1 Cd 3.22
Nd: 0.2515 0.1512 0.7495  3 Pd 2.91-3.06, 1 Cd 3.22
Nd: 0.7952 0.1175 0.7742  3 Pd 2.97-3.11, 1 Cd 3.25
Nd: 0.9616 0.2658 0.3998  3 Pd 2.88-3.13, 1 Cd 3.19
Nd: 0.3673 0.5455 0.2745  3 Pd 2.97-3.11, 1 Cd 3.25
Nd: 0.8476 0.5827 0.0666  4 Pd 2.93-3.24
Nd: 0.5161 0.7114 0.9000  3 Pd 2.88-3.13, 1 Cd 3.19
Cd: 0.0460 0.0282 0.0816  1 Pd 2.93, 3 Nd 3.19-3.25
Cd: 0.2782 0.7961 0.5825  1 Pd 2.93, 3 Nd 3.19-3.25

Crystalline NdCd2Pd6 at its relaxed geometry, computed with GGA-PBE.

Summary:
Its formation energy is -2.8 eV per formula unit.

Unit cell a=3.0804 b=8.1846 c=8.1846 alpha=55.74 beta=79.15 gamma=79.15
With the nearest neighbours (Å) after each atom.
Sites, in units of the cell vectors:
Pd: 0.3242 0.3550 0.9966  4 Pd 2.73-2.82, 3 Cd 2.85-2.93
Pd: 0.6758 0.6450 0.0034  4 Pd 2.73-2.82, 3 Cd 2.85-2.93
Pd: 0.5000 0.3250 0.6750  3 Pd 2.68-2.73, 4 Cd 2.92, 2 Nd 2.93
Pd: 0.3242 0.9966 0.3550  4 Pd 2.73-2.82, 3 Cd 2.85-2.93
Pd: 0.6758 0.0034 0.6450  4 Pd 2.73-2.82, 3 Cd 2.85-2.93
Pd: 0.5000 0.6750 0.3250  3 Pd 2.68-2.73, 4 Cd 2.92, 2 Nd 2.93
Nd: 0.0000 0.0000 0.0000  12 Pd 2.93-3.23, 2 Nd 3.08
Cd: 0.1475 0.3525 0.3525  10 Pd 2.85-2.93, 2 Cd 3.08
Cd: 0.8525 0.6475 0.6475  10 Pd 2.85-2.93, 2 Cd 3.08

Crystalline Nd6Cd2Pd at its relaxed geometry, computed with GGA-PBE.

Summary:
Its formation energy is -1.9 eV per formula unit.

Unit cell a=6.3554 b=9.5378 c=9.2500 alpha=90.00 beta=81.72 gamma=90.00
With the nearest neighbours (Å) after each atom.
Sites, in units of the cell vectors:
Nd: 0.9033 0.6828 0.9482  1 Pd 3.08, 2 Cd 3.19-3.26, 1 Nd 3.42
Nd: 0.3893 0.5340 0.7130  1 Pd 2.86
Nd: 0.9033 0.6775 0.5267  2 Cd 3.04-3.14, 1 Pd 3.14
Nd: 0.5967 0.1828 0.5518  1 Pd 3.08, 2 Cd 3.19-3.26, 1 Nd 3.42
Nd: 0.1107 0.0340 0.7870  1 Pd 2.86
Nd: 0.0967 0.3225 0.4733  2 Cd 3.04-3.14, 1 Pd 3.14
Nd: 0.4033 0.8172 0.4482  1 Pd 3.08, 2 Cd 3.19-3.26, 1 Nd 3.42
Nd: 0.8893 0.9660 0.2130  1 Pd 2.86
Nd: 0.4033 0.8225 0.0267  2 Cd 3.04-3.14, 1 Pd 3.14
Nd: 0.6107 0.4660 0.2870  1 Pd 2.86
Nd: 0.0967 0.3172 0.0518  1 Pd 3.08, 2 Cd 3.19-3.26, 1 Nd 3.42
Nd: 0.5967 0.1775 0.9733  2 Cd 3.04-3.14, 1 Pd 3.14
Cd: 0.1394 0.6007 0.2272  1 Pd 3.03, 5 Nd 3.04-3.38
Cd: 0.6394 0.8993 0.7272  1 Pd 3.03, 5 Nd 3.04-3.38
Cd: 0.3606 0.1007 0.2728  1 Pd 3.03, 5 Nd 3.04-3.38
Cd: 0.8606 0.3993 0.7728  1 Pd 3.03, 5 Nd 3.04-3.38
Pd: 0.5000 0.5000 0.0000  6 Nd 2.86-3.14, 2 Cd 3.03
Pd: 0.0000 0.0000 0.5000  6 Nd 2.86-3.14, 2 Cd 3.03

Please write out number 3 again, unchanged.
Crystalline NdCd3Pd2 at its relaxed geometry, computed with GGA-PBE.

Summary:
Its formation energy is -2.6 eV per formula unit.

Unit cell a=4.3770 b=9.2729 c=8.0624 alpha=122.02 beta=90.00 gamma=103.65
With the nearest neighbours (Å) after each atom.
Sites, in units of the cell vectors:
Cd: 0.6553 0.3106 0.8191  4 Pd 2.85-2.91, 1 Cd 3.11
Cd: 0.3447 0.6894 0.1809  4 Pd 2.85-2.91, 1 Cd 3.11
Cd: 0.0568 0.1136 0.4317  3 Pd 2.80-2.83, 3 Cd 2.81-3.06
Cd: 0.9432 0.8864 0.5683  3 Pd 2.80-2.83, 3 Cd 2.81-3.06
Cd: 0.6849 0.3699 0.4740  4 Pd 2.80-2.89, 5 Cd 3.06-3.11
Cd: 0.3151 0.6301 0.5260  4 Pd 2.80-2.89, 5 Cd 3.06-3.11
Pd: 0.4955 0.9909 0.8257  1 Pd 2.72, 4 Cd 2.80-2.91, 2 Nd 3.01
Pd: 0.2367 0.4735 0.7511  7 Cd 2.83-2.90, 2 Nd 3.09
Pd: 0.5045 0.0091 0.1743  1 Pd 2.72, 4 Cd 2.80-2.91, 2 Nd 3.01
Pd: 0.7633 0.5265 0.2489  7 Cd 2.83-2.90, 2 Nd 3.09
Nd: 0.1191 0.2381 0.0851  6 Pd 3.01-3.34
Nd: 0.8809 0.7619 0.9149  6 Pd 3.01-3.34